Compound: AlMoPS2
Source: Alexandria
Functional: PBE-GGA
Structure: optimized geometry

Lattice parameters (Å, degrees): 4.5482 4.5482 4.6011 90.00 90.00 90.00
With the nearest neighbours (Å) after each atom.
Positions (direct):
S1 0.5000 0.0000 0.0000  2 Al 2.27
S2 0.0000 0.5000 0.0000  2 Al 2.27
P1 0.0000 0.0000 0.5000  2 Al 2.30
Al1 0.0000 0.0000 0.0000  4 S 2.27, 2 P 2.30
Mo1 0.5000 0.5000 0.5000  4 P 3.22, 8 S 3.23

Electronic total energy in eV/atom: -5.02
Distance to the lowest polymorph of the same formula in kJ/mol of formula units: 186
Formation energy (no corrections) in eV/f.u.: 3.14